This record from the Alexandria database describes a relaxed structure of P2WSBr. The functional is PBE-GGA.

a = 4.690 Å, b = 4.690 Å, c = 4.675 Å
α = 90.00°, β = 90.00°, γ = 90.00°
Space group P4/mmm (No. 123)
Unique sites:
P 0.000 0.500 0.000
W 0.000 0.000 0.500
S 0.500 0.500 0.500
Br 0.500 0.500 0.000

Results
Electronic total energy, eV/atom: -3.908
ΔE to the lowest computed polymorph, meV per atom: 1661
Uncorrected formation energy, eV/atom: 2.01
Calculated volume, Å³ per atom: 20.56